! AcCd2InNi | Alexandria | PBE | optimized geometry; values from VASP
&SYSTEM
  ibrav = 0, nat = 5, ntyp = 4
/
ATOMIC_SPECIES
Ac 227.00 Ac.upf
Cd 112.41 Cd.upf
In 114.82 In.upf
Ni 58.69 Ni.upf
ATOMIC_POSITIONS angstrom
Ac -2.945 -3.044 3.393
Cd -2.231 0.366 2.510
Cd -0.294 -0.304 0.339
In -3.076 -1.502 0.171
Ni -4.802 -0.614 2.099
CELL_PARAMETERS angstrom
-1.668 3.621 1.800
-3.310 -0.067 -2.932
-0.964 -5.345 4.544
! **Final energy**: -3.15 eV/atom
! **Space-group type**: Imm2
! **Density of states at the Fermi level**: 3.508 states/eV per cell
! **Calculated formation energy**: -0.260 eV/atom
! **M_tot**: 0.000 μB per atom